DyEr3Ru: optimized geometry, PBE.

Calculated values
E above lowest polymorph, eV per atom: 0.143
DFT total energy, eV per atom: -5.5888
V, Å³ per cell: 152.25
DFT formation energy, meV per atom: -76

Unit cell a=5.340 b=5.340 c=5.340 alpha=90.00 beta=90.00 gamma=90.00
Sites, in units of the cell vectors:
Dy  0.000  0.000  0.000
Er  0.000  0.500  0.500
Er  0.500  0.000  0.500
Er  0.500  0.500  0.000
Ru  0.500  0.500  0.500

DyEr3Ru: optimized geometry, PBE.

Calculated values
E above lowest polymorph, eV per atom: 0.144
DFT total energy, eV per atom: -5.5874
V, Å³ per cell: 275.92
DFT formation energy, meV per atom: -74

Unit cell a=8.767 b=8.767 c=9.446 alpha=105.54 beta=105.54 gamma=23.27
Sites, in units of the cell vectors:
Dy  0.193  0.193  0.308
Dy  0.807  0.807  0.692
Er  0.184  0.184  0.869
Er  0.401  0.401  0.459
Er  0.498  0.498  0.823
Er  0.502  0.502  0.177
Er  0.599  0.599  0.541
Er  0.816  0.816  0.131
Ru  0.364  0.364  0.937
Ru  0.636  0.636  0.063

Look up the E above lowest polymorph of the first one.
0.143 eV per atom

The highest DFT total energy belongs to which entry?
number 2

The highest DFT total energy belongs to which entry?
number 2